Record 1
# Y2ZrBi4 GGA-PBE optimized geometry
data_Y2ZrBi4
_cell_length_a 5.655
_cell_length_b 5.655
_cell_length_c 15.384
_cell_angle_alpha 90.00
_cell_angle_beta 90.00
_cell_angle_gamma 90.00
_symmetry_space_group_name_H-M 'I 4/m m m'
_symmetry_Int_Tables_number 139
_symmetry_space_group_name_Hall '-I 4 2'
loop_
_atom_site_label
_atom_site_fract_x
_atom_site_fract_y
_atom_site_fract_z
_atom_site_occupancy
Y1 0.000 0.000 0.112 1
Zr1 0.000 0.000 0.500 1
Bi1 0.000 0.000 0.307 1
Bi2 0.000 0.500 0.000 1
# crystal system	tetragonal
# E_tot	-5.472	eV per atom
# energy relative to the elements	-0.187	eV/atom


Record 2
# CaLaInCu GGA-PBE optimized geometry
data_CaLaInCu
_cell_length_a 7.575
_cell_length_b 7.575
_cell_length_c 7.575
_cell_angle_alpha 90.00
_cell_angle_beta 90.00
_cell_angle_gamma 90.00
_symmetry_space_group_name_H-M 'F -4 3 m'
_symmetry_Int_Tables_number 216
_symmetry_space_group_name_Hall 'F -4 2 3'
loop_
_atom_site_label
_atom_site_fract_x
_atom_site_fract_y
_atom_site_fract_z
_atom_site_occupancy
Ca1 0.000 0.000 0.000 1
La1 0.000 0.000 0.500 1
In1 0.250 0.250 0.250 1
Cu1 0.250 0.250 0.750 1
# crystal system	cubic
# E_tot	-3.726	eV per atom
# energy relative to the elements	-0.285	eV/atom


Record 3
# Cr2PtW GGA-PBE optimized geometry
data_Cr2PtW
_cell_length_a 2.708
_cell_length_b 3.757
_cell_length_c 5.485
_cell_angle_alpha 90.00
_cell_angle_beta 90.00
_cell_angle_gamma 90.00
_symmetry_space_group_name_H-M 'P m m 2'
_symmetry_Int_Tables_number 25
_symmetry_space_group_name_Hall 'P 2 -2'
loop_
_atom_site_label
_atom_site_fract_x
_atom_site_fract_y
_atom_site_fract_z
_atom_site_occupancy
Cr1 0.000 0.000 0.000 1
Cr2 0.500 0.500 0.210 1
Pt1 0.000 0.000 0.473 1
W1 0.500 0.500 0.753 1
# crystal system	orthorhombic
# relative energy among the computed polymorphs	96	meV per atom
# E_tot	-9.473	eV per atom
# energy relative to the elements	0.088	eV/atom


Record 4
# NdZrPb2 GGA-PBE optimized geometry
data_NdZrPb2
_cell_length_a 4.8888
_cell_length_b 4.8888
_cell_length_c 16.6620
_cell_angle_alpha 90.00
_cell_angle_beta 90.00
_cell_angle_gamma 120.00
_symmetry_space_group_name_H-M 'R -3 m'
_symmetry_Int_Tables_number 166
_symmetry_space_group_name_Hall '-R 3 2"'
loop_
_atom_site_label
_atom_site_fract_x
_atom_site_fract_y
_atom_site_fract_z
_atom_site_occupancy
Nd1 0.0000 0.0000 0.0000 1
Zr1 0.0000 0.0000 0.5000 1
Pb1 0.0000 0.0000 0.2389 1
# crystal system	trigonal
# E_tot	-5.438	eV per atom
# energy relative to the elements	-0.255	eV/atom


Record 5
# MgCrTc GGA-PBE optimized geometry
data_MgCrTc
_cell_length_a 4.3200
_cell_length_b 4.3200
_cell_length_c 2.6579
_cell_angle_alpha 90.00
_cell_angle_beta 90.00
_cell_angle_gamma 120.00
_symmetry_space_group_name_H-M 'P 3 m 1'
_symmetry_Int_Tables_number 156
_symmetry_space_group_name_Hall 'P 3 -2"'
loop_
_atom_site_label
_atom_site_fract_x
_atom_site_fract_y
_atom_site_fract_z
_atom_site_occupancy
Mg1 0.0000 0.0000 0.0000 1
Cr1 0.3333 0.6667 0.6262 1
Tc1 0.6667 0.3333 0.3979 1
# crystal system	trigonal
# relative energy among the computed polymorphs	87	meV per atom
# E_tot	-6.968	eV per atom
# energy relative to the elements	0.227	eV/atom


Record 6
# LiZr4Tc GGA-PBE optimized geometry
data_LiZr4Tc
_cell_length_a 8.022
_cell_length_b 8.022
_cell_length_c 8.022
_cell_angle_alpha 90.00
_cell_angle_beta 90.00
_cell_angle_gamma 90.00
_symmetry_space_group_name_H-M 'F -4 3 m'
_symmetry_Int_Tables_number 216
_symmetry_space_group_name_Hall 'F -4 2 3'
loop_
_atom_site_label
_atom_site_fract_x
_atom_site_fract_y
_atom_site_fract_z
_atom_site_occupancy
Li1 0.000 0.000 0.000 1
Zr1 0.123 0.123 0.377 1
Tc1 0.250 0.250 0.750 1
# crystal system	cubic
# E_tot	-7.067	eV per atom
# energy relative to the elements	0.679	eV/atom


Record 7
# Nd2HfP3 GGA-PBE optimized geometry
data_Nd2HfP3
_cell_length_a 4.023
_cell_length_b 4.023
_cell_length_c 16.888
_cell_angle_alpha 90.00
_cell_angle_beta 90.00
_cell_angle_gamma 90.00
_symmetry_space_group_name_H-M 'I 4/m m m'
_symmetry_Int_Tables_number 139
_symmetry_space_group_name_Hall '-I 4 2'
loop_
_atom_site_label
_atom_site_fract_x
_atom_site_fract_y
_atom_site_fract_z
_atom_site_occupancy
Nd1 0.000 0.000 0.166 1
Hf1 0.000 0.000 0.500 1
P1 0.000 0.000 0.000 1
P2 0.000 0.000 0.343 1
# crystal system	tetragonal
# E_tot	-7.301	eV per atom
# energy relative to the elements	-1.348	eV/atom


Record 8
# LiTe6Au2 GGA-PBE optimized geometry
data_LiTe6Au2
_cell_length_a 13.972
_cell_length_b 9.203
_cell_length_c 9.252
_cell_angle_alpha 90.00
_cell_angle_beta 105.90
_cell_angle_gamma 90.00
_symmetry_space_group_name_H-M 'C 1 2/c 1'
_symmetry_Int_Tables_number 15
_symmetry_space_group_name_Hall '-C 2yc'
loop_
_atom_site_label
_atom_site_fract_x
_atom_site_fract_y
_atom_site_fract_z
_atom_site_occupancy
Li1 0.000 0.094 0.250 1
Te1 0.087 0.159 0.559 1
Te2 0.118 0.448 0.495 1
Te3 0.163 0.199 0.122 1
Au1 0.236 0.450 0.266 1
# crystal system	monoclinic
# E_tot	-3.126	eV per atom
# ΔE_f (raw)	-0.815	eV/f.u.


Record 9
# PaSbPd2 GGA-PBE optimized geometry
data_PaSbPd2
_cell_length_a 3.193
_cell_length_b 4.548
_cell_length_c 5.759
_cell_angle_alpha 90.00
_cell_angle_beta 90.00
_cell_angle_gamma 90.00
_symmetry_space_group_name_H-M 'P m m m'
_symmetry_Int_Tables_number 47
_symmetry_space_group_name_Hall '-P 2 2'
loop_
_atom_site_label
_atom_site_fract_x
_atom_site_fract_y
_atom_site_fract_z
_atom_site_occupancy
Pa1 0.000 0.000 0.000 1
Sb1 0.500 0.000 0.500 1
Pd1 0.500 0.500 0.233 1
# crystal system	orthorhombic
# relative energy among the computed polymorphs	94	meV per atom
# E_tot	-6.529	eV per atom
# ΔE_f (raw)	-2.114	eV/f.u.


Record 10
# BeSnPd3 GGA-PBE optimized geometry
data_BeSnPd3
_cell_length_a 4.896
_cell_length_b 4.896
_cell_length_c 4.896
_cell_angle_alpha 90.00
_cell_angle_beta 90.00
_cell_angle_gamma 90.00
_symmetry_space_group_name_H-M 'P m -3 m'
_symmetry_Int_Tables_number 221
_symmetry_space_group_name_Hall '-P 4 2 3'
loop_
_atom_site_label
_atom_site_fract_x
_atom_site_fract_y
_atom_site_fract_z
_atom_site_occupancy
Be1 0.000 0.000 0.000 1
Sn1 0.500 0.500 0.500 1
Pd1 0.000 0.500 0.500 1
# crystal system	cubic
# relative energy among the computed polymorphs	1189	meV per atom
# E_tot	-3.760	eV per atom
# energy relative to the elements	0.902	eV/atom


Record 11
# CsPrOF2 GGA-PBE optimized geometry
data_CsPrOF2
_cell_length_a 4.817
_cell_length_b 4.817
_cell_length_c 4.617
_cell_angle_alpha 90.00
_cell_angle_beta 90.00
_cell_angle_gamma 90.00
_symmetry_space_group_name_H-M 'P 4/m m m'
_symmetry_Int_Tables_number 123
_symmetry_space_group_name_Hall '-P 4 2'
loop_
_atom_site_label
_atom_site_fract_x
_atom_site_fract_y
_atom_site_fract_z
_atom_site_occupancy
Cs1 0.000 0.000 0.000 1
Pr1 0.500 0.500 0.500 1
O1 0.500 0.500 0.000 1
F1 0.000 0.500 0.500 1
# crystal system	tetragonal
# E_tot	-6.020	eV per atom
# ΔE_f (raw)	-15.766	eV/f.u.


Record 12
# CeY2Ga GGA-PBE optimized geometry
data_CeY2Ga
_cell_length_a 3.5817
_cell_length_b 3.5817
_cell_length_c 30.9358
_cell_angle_alpha 90.00
_cell_angle_beta 90.00
_cell_angle_gamma 120.00
_symmetry_space_group_name_H-M 'R 3 m'
_symmetry_Int_Tables_number 160
_symmetry_space_group_name_Hall 'R 3 -2"'
loop_
_atom_site_label
_atom_site_fract_x
_atom_site_fract_y
_atom_site_fract_z
_atom_site_occupancy
Ce1 0.0000 0.0000 0.0000 1
Y1 0.0000 0.0000 0.5703 1
Y2 0.0000 0.0000 0.7622 1
Ga1 0.0000 0.0000 0.1660 1
# crystal system	trigonal
# relative energy among the computed polymorphs	103	meV per atom
# E_tot	-5.621	eV per atom
# energy relative to the elements	-0.149	eV/atom


Record 13
# Th2FeBr GGA-PBE optimized geometry
data_Th2FeBr
_cell_length_a 4.0261
_cell_length_b 4.0261
_cell_length_c 23.5928
_cell_angle_alpha 90.00
_cell_angle_beta 90.00
_cell_angle_gamma 120.00
_symmetry_space_group_name_H-M 'R -3 m'
_symmetry_Int_Tables_number 166
_symmetry_space_group_name_Hall '-R 3 2"'
loop_
_atom_site_label
_atom_site_fract_x
_atom_site_fract_y
_atom_site_fract_z
_atom_site_occupancy
Th1 0.0000 0.0000 0.2262 1
Fe1 0.0000 0.0000 0.5000 1
Br1 0.0000 0.0000 0.0000 1
# crystal system	trigonal
# relative energy among the computed polymorphs	0	meV per atom
# E_tot	-6.871	eV per atom
# ΔE_f (raw)	-2.508	eV/f.u.


Record 14
# KInSb2I GGA-PBE optimized geometry
data_KInSb2I
_cell_length_a 5.645
_cell_length_b 5.645
_cell_length_c 6.731
_cell_angle_alpha 90.00
_cell_angle_beta 90.00
_cell_angle_gamma 90.00
_symmetry_space_group_name_H-M 'P 4/m m m'
_symmetry_Int_Tables_number 123
_symmetry_space_group_name_Hall '-P 4 2'
loop_
_atom_site_label
_atom_site_fract_x
_atom_site_fract_y
_atom_site_fract_z
_atom_site_occupancy
K1 0.000 0.000 0.000 1
In1 0.500 0.500 0.500 1
Sb1 0.000 0.500 0.500 1
I1 0.500 0.500 0.000 1
# crystal system	tetragonal
# relative energy among the computed polymorphs	0	meV per atom
# E_tot	-2.709	eV per atom
# ΔE_f (raw)	0.084	eV/f.u.


Record 15
# Ce3SbBr3 GGA-PBE optimized geometry
data_Ce3SbBr3
_cell_length_a 7.3878
_cell_length_b 7.3878
_cell_length_c 32.0524
_cell_angle_alpha 90.00
_cell_angle_beta 90.00
_cell_angle_gamma 120.00
_symmetry_space_group_name_H-M 'R -3'
_symmetry_Int_Tables_number 148
_symmetry_space_group_name_Hall '-R 3'
loop_
_atom_site_label
_atom_site_fract_x
_atom_site_fract_y
_atom_site_fract_z
_atom_site_occupancy
Ce1 0.9999 0.3107 0.4443 1
Sb1 0.0000 0.0000 0.1667 1
Br1 0.9998 0.3501 0.6114 1
# crystal system	trigonal
# E_tot	-5.116	eV per atom
# ΔE_f (raw)	-8.873	eV/f.u.


Record 16
# Ac4NiPd GGA-PBE optimized geometry
data_Ac4NiPd
_cell_length_a 6.771
_cell_length_b 7.601
_cell_length_c 8.244
_cell_angle_alpha 90.00
_cell_angle_beta 107.66
_cell_angle_gamma 90.00
_symmetry_space_group_name_H-M 'P 1 21/m 1'
_symmetry_Int_Tables_number 11
_symmetry_space_group_name_Hall '-P 2yb'
loop_
_atom_site_label
_atom_site_fract_x
_atom_site_fract_y
_atom_site_fract_z
_atom_site_occupancy
Ac1 0.004 0.001 0.240 1
Ac2 0.448 0.250 0.619 1
Ac3 0.456 0.250 0.108 1
Ni1 0.206 0.750 0.052 1
Pd1 0.200 0.750 0.549 1
# crystal system	monoclinic
# relative energy among the computed polymorphs	0	meV per atom
# E_tot	-4.912	eV per atom
# energy relative to the elements	-0.344	eV/atom


Record 17
# Pr2ErSn GGA-PBE optimized geometry
data_Pr2ErSn
_cell_length_a 7.855
_cell_length_b 7.855
_cell_length_c 7.855
_cell_angle_alpha 90.00
_cell_angle_beta 90.00
_cell_angle_gamma 90.00
_symmetry_space_group_name_H-M 'F m -3 m'
_symmetry_Int_Tables_number 225
_symmetry_space_group_name_Hall '-F 4 2 3'
loop_
_atom_site_label
_atom_site_fract_x
_atom_site_fract_y
_atom_site_fract_z
_atom_site_occupancy
Pr1 0.250 0.250 0.250 1
Er1 0.000 0.000 0.000 1
Sn1 0.000 0.000 0.500 1
# crystal system	cubic
# relative energy among the computed polymorphs	165	meV per atom
# E_tot	-4.792	eV per atom
# energy relative to the elements	-0.260	eV/atom


Record 18
# Li2CrIrS GGA-PBE optimized geometry
data_Li2CrIrS
_cell_length_a 4.541
_cell_length_b 4.541
_cell_length_c 4.188
_cell_angle_alpha 90.00
_cell_angle_beta 90.00
_cell_angle_gamma 90.00
_symmetry_space_group_name_H-M 'P 4/m m m'
_symmetry_Int_Tables_number 123
_symmetry_space_group_name_Hall '-P 4 2'
loop_
_atom_site_label
_atom_site_fract_x
_atom_site_fract_y
_atom_site_fract_z
_atom_site_occupancy
Li1 0.000 0.500 0.000 1
Cr1 0.000 0.000 0.000 1
Ir1 0.500 0.500 0.500 1
S1 0.000 0.000 0.500 1
# crystal system	tetragonal
# E_tot	-4.419	eV per atom
# ΔE_f (raw)	4.343	eV/f.u.


Record 19
# Re2SiTe GGA-PBE optimized geometry
data_Re2SiTe
_cell_length_a 8.047
_cell_length_b 3.088
_cell_length_c 5.600
_cell_angle_alpha 90.00
_cell_angle_beta 103.37
_cell_angle_gamma 90.00
_symmetry_space_group_name_H-M 'C 1 2/m 1'
_symmetry_Int_Tables_number 12
_symmetry_space_group_name_Hall '-C 2y'
loop_
_atom_site_label
_atom_site_fract_x
_atom_site_fract_y
_atom_site_fract_z
_atom_site_occupancy
Re1 0.239 0.000 0.194 1
Si1 0.000 0.500 0.000 1
Te1 0.000 0.000 0.500 1
# crystal system	monoclinic
# relative energy among the computed polymorphs	125	meV per atom
# E_tot	-7.938	eV per atom
# ΔE_f (raw)	1.709	eV/f.u.


Record 20
# Al2GePd2 GGA-PBE optimized geometry
data_Al2GePd2
_cell_length_a 7.469
_cell_length_b 7.469
_cell_length_c 2.859
_cell_angle_alpha 90.00
_cell_angle_beta 90.00
_cell_angle_gamma 90.00
_symmetry_space_group_name_H-M 'P 4/m b m'
_symmetry_Int_Tables_number 127
_symmetry_space_group_name_Hall '-P 4 2ab'
loop_
_atom_site_label
_atom_site_fract_x
_atom_site_fract_y
_atom_site_fract_z
_atom_site_occupancy
Al1 0.156 0.344 0.000 1
Ge1 0.000 0.000 0.500 1
Pd1 0.140 0.640 0.500 1
# crystal system	tetragonal
# relative energy among the computed polymorphs	0	meV per atom
# E_tot	-5.037	eV per atom
# energy relative to the elements	-0.540	eV/atom